[1]
Computed, not measured: VCuTe2 after structural relaxation at the GGA-PBE level of DFT.

a b c (Å): 7.464 7.464 7.464
angles (deg): 132.42 132.42 69.57
Fractional positions:
V 0.000 0.000 0.000
V 0.750 0.250 0.500
Cu 0.250 0.750 0.500
Cu 0.500 0.500 0.000
Te 0.131 0.625 0.006
Te 0.375 0.381 0.506
Te 0.619 0.125 0.994
Te 0.875 0.869 0.494

Summary:
ΔE_f (raw): -0.046 eV per atom
space-group type: No. 122
total magnetic moment: 4.00 μB per cell



[2]
Computed, not measured: Na8InHg2 after structural relaxation at the GGA-PBE level of DFT.

a b c (Å): 8.571 8.571 5.588
angles (deg): 100.46 100.46 115.72
Fractional positions:
Na 0.077 0.314 0.601
Na 0.225 0.775 0.000
Na 0.314 0.077 0.601
Na 0.379 0.379 0.186
Na 0.621 0.621 0.814
Na 0.686 0.923 0.399
Na 0.775 0.225 0.000
Na 0.923 0.686 0.399
In 0.000 0.000 0.000
Hg 0.315 0.685 0.500
Hg 0.685 0.315 0.500

Summary:
ΔH_f (0 K): -104 kJ/mol of formula units
space-group type: No. 12
total magnetic moment: 0.00 μB per cell



[3]
Computed, not measured: Dy2Ho3Tc2 after structural relaxation at the GGA-PBE level of DFT.

a b c (Å): 6.349 6.349 8.405
angles (deg): 111.85 111.85 35.07
Fractional positions:
Dy 0.162 0.162 0.316
Dy 0.838 0.838 0.684
Ho 0.375 0.375 0.067
Ho 0.500 0.500 0.500
Ho 0.625 0.625 0.933
Tc 0.178 0.178 0.714
Tc 0.822 0.822 0.286

Summary:
ΔH_f (0 K): -52 kJ/mol of formula units
space-group type: No. 12
total magnetic moment: 0.00 μB per cell



[4]
Computed, not measured: CdOF after structural relaxation at the GGA-PBE level of DFT.

a b c (Å): 8.011 8.011 8.011
angles (deg): 25.93 25.93 25.93
Fractional positions:
Cd 0.000 0.000 0.000
Cd 0.158 0.158 0.158
O 0.381 0.381 0.381
O 0.445 0.445 0.445
F 0.625 0.625 0.625
F 0.869 0.869 0.869

Summary:
ΔE_f (raw): -1.299 eV per atom
space-group type: No. 160
total magnetic moment: 0.00 μB per cell



[5]
Computed, not measured: TlPd2Pt after structural relaxation at the GGA-PBE level of DFT.

a b c (Å): 10.111 10.111 10.111
angles (deg): 157.61 157.61 31.87
Fractional positions:
Tl 0.000 0.000 0.000
Tl 0.750 0.250 0.500
Pd 0.135 0.625 0.010
Pd 0.375 0.385 0.510
Pd 0.615 0.125 0.990
Pd 0.875 0.865 0.490
Pt 0.250 0.750 0.500
Pt 0.500 0.500 0.000

Summary:
ΔH_f (0 K): 48 kJ/mol of formula units
space-group type: No. 122
total magnetic moment: 0.00 μB per cell



[6]
Computed, not measured: AcTmAg4 after structural relaxation at the GGA-PBE level of DFT.

a b c (Å): 5.841 5.841 5.841
angles (deg): 60.00 60.00 60.00
Fractional positions:
Ac 0.000 0.000 0.000
Tm 0.750 0.750 0.750
Ag 0.376 0.376 0.376
Ag 0.376 0.376 0.872
Ag 0.376 0.872 0.376
Ag 0.872 0.376 0.376

Summary:
ΔH_f (0 K): -82 kJ/mol of formula units
space-group type: No. 216
total magnetic moment: 0.00 μB per cell